# Ca2Al4CdAu3, optimized geometry, DFT GGA-PBE
# Calculated density, Mg/m³: 7.05
# Formation enthalpy at 0 K, meV/atom: -538.4
# Space-group type: P-4m2 (115)
data_Ca2Al4CdAu3
_chemical_formula_sum 'Ca2 Al4 Cd1 Au3'
_symmetry_space_group_name_H-M 'P 1'
_symmetry_Int_Tables_number 1
_cell_length_a 4.376
_cell_length_b 4.376
_cell_length_c 10.969
_cell_angle_alpha 90.00
_cell_angle_beta 90.00
_cell_angle_gamma 90.00
loop_
_symmetry_equiv_pos_as_xyz
'x,y,z'
loop_
_atom_site_label
_atom_site_type_symbol
_atom_site_fract_x
_atom_site_fract_y
_atom_site_fract_z
Ca1 Ca 0.000 0.500 0.246
Ca2 Ca 0.500 0.000 0.754
Al1 Al 0.000 0.000 0.000
Al2 Al 0.000 0.500 0.642
Al3 Al 0.500 0.000 0.358
Al4 Al 0.500 0.500 0.000
Cd1 Cd 0.000 0.000 0.500
Au1 Au 0.000 0.500 0.871
Au2 Au 0.500 0.000 0.129
Au3 Au 0.500 0.500 0.500